Record 1
Material: RbHg2WI
Method: DFT, PBE-GGA
State: relaxed

VASP energy (eV for the cell shown): -12.9
Formation energy from raw total energies (eV per atom): 0.633

Lattice parameters (Å, degrees): 5.5089 5.5089 7.4846 90.00 90.00 90.00
With the nearest neighbours (Å) after each atom.
Space group P4/mmm (No. 123)
Symmetry-distinct sites (fractional):
Rb1 0.0000 0.0000 0.0000  2 W 3.74, 4 I 3.90
Hg1 0.0000 0.5000 0.5000  2 W 2.75
W1 0.0000 0.0000 0.5000  4 Hg 2.75
I1 0.5000 0.5000 0.0000  4 Rb 3.90

---

Record 2
Material: RbYHgI6
Method: DFT, PBE-GGA
State: relaxed

VASP energy (eV for the cell shown): -52.4
Formation energy from raw total energies (eV per atom): -1.021

Lattice parameters (Å, degrees): 7.9133 13.7494 8.1199 90.00 90.18 90.00
With the nearest neighbours (Å) after each atom.
Space group C2 (No. 5)
Symmetry-distinct sites (fractional):
Rb1 0.0000 0.0000 0.0000  6 I 3.74-3.75
Y1 0.0000 0.3338 0.5000  6 I 3.05
Hg1 0.0000 0.6664 0.5000  6 I 3.07-3.09
I1 0.1250 0.4984 0.2806  1 Y 3.05, 1 Hg 3.08
I2 0.1855 0.1884 0.2811  1 Y 3.05, 1 Hg 3.07
I3 0.1898 0.8128 0.2796  1 Y 3.05, 1 Hg 3.09

---

- Look up the formation energy from raw total energies of the second one.
  -1.021 eV per atom

---

Repeat the second record exactly.
Material: RbYHgI6
Method: DFT, PBE-GGA
State: relaxed

VASP energy (eV for the cell shown): -52.4
Formation energy from raw total energies (eV per atom): -1.021

Lattice parameters (Å, degrees): 7.9133 13.7494 8.1199 90.00 90.18 90.00
With the nearest neighbours (Å) after each atom.
Space group C2 (No. 5)
Symmetry-distinct sites (fractional):
Rb1 0.0000 0.0000 0.0000  6 I 3.74-3.75
Y1 0.0000 0.3338 0.5000  6 I 3.05
Hg1 0.0000 0.6664 0.5000  6 I 3.07-3.09
I1 0.1250 0.4984 0.2806  1 Y 3.05, 1 Hg 3.08
I2 0.1855 0.1884 0.2811  1 Y 3.05, 1 Hg 3.07
I3 0.1898 0.8128 0.2796  1 Y 3.05, 1 Hg 3.09

---

Please write out number 2 again, unchanged.
Material: RbYHgI6
Method: DFT, PBE-GGA
State: relaxed

VASP energy (eV for the cell shown): -52.4
Formation energy from raw total energies (eV per atom): -1.021

Lattice parameters (Å, degrees): 7.9133 13.7494 8.1199 90.00 90.18 90.00
With the nearest neighbours (Å) after each atom.
Space group C2 (No. 5)
Symmetry-distinct sites (fractional):
Rb1 0.0000 0.0000 0.0000  6 I 3.74-3.75
Y1 0.0000 0.3338 0.5000  6 I 3.05
Hg1 0.0000 0.6664 0.5000  6 I 3.07-3.09
I1 0.1250 0.4984 0.2806  1 Y 3.05, 1 Hg 3.08
I2 0.1855 0.1884 0.2811  1 Y 3.05, 1 Hg 3.07
I3 0.1898 0.8128 0.2796  1 Y 3.05, 1 Hg 3.09

---

- What is the formula in the second record?
  RbYHgI6